[1]
The following is a DFT calculation (PBE) of an optimized crystal structure of Sr6InAu3.

Geometry as POSCAR:
```
Sr6InAu3
1.0
13.082 0.000 0.000
0.000 4.515 0.000
-4.303 0.000 12.845
Sr In Au
12 2 6
direct
0.023 0.250 0.386
0.111 0.250 0.950
0.223 0.750 0.268
0.298 0.750 0.757
0.374 0.250 0.533
0.425 0.750 0.093
0.575 0.250 0.907
0.626 0.750 0.467
0.702 0.250 0.243
0.777 0.250 0.732
0.889 0.750 0.050
0.977 0.750 0.614
0.446 0.250 0.298
0.554 0.750 0.702
0.053 0.250 0.165
0.185 0.750 0.507
0.340 0.250 0.924
0.660 0.750 0.076
0.815 0.250 0.493
0.947 0.750 0.835
```

Computed properties:
**Calculated formation energy**: -555 meV/atom

=====

[2]
The following is a DFT calculation (PBE) of an optimized crystal structure of La2MgTlIr.

Geometry as POSCAR:
```
La2MgTlIr
1.0
5.546 0.000 0.000
0.000 5.546 0.000
0.000 0.000 5.330
La Mg Tl Ir
2 1 1 1
direct
0.000 0.500 0.000
0.500 0.000 0.000
0.000 0.000 0.500
0.500 0.500 0.500
0.500 0.500 0.000
```

Computed properties:
**Energy above the most stable polymorph in this dataset**: 0.174 eV/atom
**Calculated formation energy**: -262 meV/atom